1.
A plane-wave DFT calculation with GGA-PBE was carried out for KBSb after structural relaxation.

```
KBSb
1.0
6.666 -1.864 0.000
6.666 1.864 0.000
-2.345 0.000 6.900
K B Sb
2 2 2
Direct
0.093 0.093 0.247 K
0.907 0.907 0.753 K
0.337 0.337 0.043 B
0.663 0.663 0.957 B
0.179 0.179 0.779 Sb
0.821 0.821 0.221 Sb
```

Computed properties:
Its total energy is -21.46 eV/cell. The space group is C2/m. As for the mass density: 3.325 g/cm3. The raw formation energy is 113 kJ/mol of formula units. For the density of states at the Fermi level, the calculation gives 1.73 states/eV per cell.


2.
A plane-wave DFT calculation with GGA-PBE was carried out for KBSb3 after structural relaxation.

```
KBSb3
1.0
5.083 0.000 0.000
0.000 5.083 0.000
0.000 0.000 5.083
K B Sb
1 1 3
Direct
0.000 0.000 0.000 K
0.500 0.500 0.500 B
0.000 0.500 0.500 Sb
0.500 0.000 0.500 Sb
0.500 0.500 0.000 Sb
```

Computed properties:
Its distance to the lowest polymorph of the same formula is 0.0 meV/atom. Its total energy is -17.49 eV/cell. The space group is Pm-3m. As for the mass density: 5.250 g/cm3. The raw formation energy is 256 kJ/mol of formula units. For the density of states at the Fermi level, the calculation gives 2.69 states/eV per cell.


3.
A plane-wave DFT calculation with GGA-PBE was carried out for KBSb3 after structural relaxation.

```
KBSb3
1.0
5.850 0.000 0.000
0.000 5.850 0.000
0.000 0.000 5.850
K B Sb
1 1 3
Direct
0.000 0.000 0.000 K
0.500 0.500 0.500 B
0.000 0.000 0.500 Sb
0.000 0.500 0.000 Sb
0.500 0.000 0.000 Sb
```

Computed properties:
Its distance to the lowest polymorph of the same formula is 1625.0 meV/atom. Its total energy is -9.36 eV/cell. The space group is Pm-3m. As for the mass density: 3.444 g/cm3. The raw formation energy is 1040 kJ/mol of formula units. For the density of states at the Fermi level, the calculation gives 4.95 states/eV per cell.


4.
A plane-wave DFT calculation with GGA-PBE was carried out for KB3Sb after structural relaxation.

```
KB3Sb
1.0
4.852 0.000 0.000
0.000 4.852 0.000
0.000 0.000 4.852
K B Sb
1 3 1
Direct
0.000 0.000 0.000 K
0.000 0.000 0.500 B
0.000 0.500 0.000 B
0.500 0.000 0.000 B
0.500 0.500 0.500 Sb
```

Computed properties:
Its distance to the lowest polymorph of the same formula is 1195.8 meV/atom. Its total energy is -9.88 eV/cell. The space group is Pm-3m. As for the mass density: 2.811 g/cm3. The raw formation energy is 1483 kJ/mol of formula units. For the density of states at the Fermi level, the calculation gives 3.29 states/eV per cell.


5.
A plane-wave DFT calculation with GGA-PBE was carried out for KB3Sb after structural relaxation.

```
KB3Sb
1.0
4.683 0.000 0.000
0.000 4.683 0.000
0.000 0.000 4.683
K B Sb
1 3 1
Direct
0.000 0.000 0.000 K
0.000 0.500 0.500 B
0.500 0.000 0.500 B
0.500 0.500 0.000 B
0.500 0.500 0.500 Sb
```

Computed properties:
Its distance to the lowest polymorph of the same formula is 0.0 meV/atom. Its total energy is -15.86 eV/cell. The space group is Pm-3m. As for the mass density: 3.126 g/cm3. The raw formation energy is 906 kJ/mol of formula units. For the density of states at the Fermi level, the calculation gives 3.00 states/eV per cell.


6.
A plane-wave DFT calculation with GGA-PBE was carried out for K3BSb after structural relaxation.

```
K3BSb
1.0
5.900 0.000 0.000
0.000 5.900 0.000
0.000 0.000 5.900
K B Sb
3 1 1
Direct
0.000 0.000 0.500 K
0.000 0.500 0.000 K
0.500 0.000 0.000 K
0.000 0.000 0.000 B
0.500 0.500 0.500 Sb
```

Computed properties:
Its distance to the lowest polymorph of the same formula is 0.0 meV/atom. Its total energy is -10.42 eV/cell. The space group is Pm-3m. As for the mass density: 2.020 g/cm3. The raw formation energy is 355 kJ/mol of formula units. For the density of states at the Fermi level, the calculation gives 8.84 states/eV per cell.


7.
A plane-wave DFT calculation with GGA-PBE was carried out for KSnBSb2 after structural relaxation.

```
KSnBSb2
1.0
5.858 0.000 0.000
0.000 5.858 0.000
0.000 0.000 4.938
K Sn B Sb
1 1 1 2
Direct
0.000 0.000 0.000 K
0.500 0.500 0.500 Sn
0.000 0.000 0.500 B
0.000 0.500 0.000 Sb
0.500 0.000 0.000 Sb
```

Computed properties:
Its total energy is -11.33 eV/cell. The space group is P4/mmm. As for the mass density: 4.039 g/cm3. The raw formation energy is 838 kJ/mol of formula units. For the density of states at the Fermi level, the calculation gives 5.90 states/eV per cell.


8.
A plane-wave DFT calculation with GGA-PBE was carried out for KTcBSb2 after structural relaxation.

```
KTcBSb2
1.0
5.511 0.000 0.000
0.000 5.511 0.000
0.000 0.000 4.349
K Tc B Sb
1 1 1 2
Direct
0.000 0.000 0.000 K
0.500 0.500 0.500 Tc
0.000 0.000 0.500 B
0.000 0.500 0.000 Sb
0.500 0.000 0.000 Sb
```

Computed properties:
Its total energy is -12.94 eV/cell. The space group is P4/mmm. As for the mass density: 4.922 g/cm3. The raw formation energy is 1297 kJ/mol of formula units. For the density of states at the Fermi level, the calculation gives 6.94 states/eV per cell.


9.
A plane-wave DFT calculation with GGA-PBE was carried out for KTlBSb2 after structural relaxation.

```
KTlBSb2
1.0
4.983 0.000 0.000
0.000 4.983 0.000
0.000 0.000 5.550
K Tl B Sb
1 1 1 2
Direct
0.000 0.000 0.000 K
0.500 0.500 0.000 Tl
0.500 0.500 0.500 B
0.000 0.500 0.500 Sb
0.500 0.000 0.500 Sb
```

Computed properties:
Its total energy is -16.17 eV/cell. The space group is P4/mmm. As for the mass density: 5.998 g/cm3. The raw formation energy is 214 kJ/mol of formula units. For the density of states at the Fermi level, the calculation gives 2.20 states/eV per cell.


10.
A plane-wave DFT calculation with GGA-PBE was carried out for KTlB2Sb after structural relaxation.

```
KTlB2Sb
1.0
4.724 0.000 0.000
0.000 4.724 0.000
0.000 0.000 6.187
K Tl B Sb
1 1 2 1
Direct
0.000 0.000 0.000 K
0.500 0.500 0.000 Tl
0.000 0.500 0.500 B
0.500 0.000 0.500 B
0.500 0.500 0.500 Sb
```

Computed properties:
Its total energy is -14.18 eV/cell. The space group is P4/mmm. As for the mass density: 4.652 g/cm3. The raw formation energy is 652 kJ/mol of formula units. For the density of states at the Fermi level, the calculation gives 2.40 states/eV per cell.


11.
A plane-wave DFT calculation with GGA-PBE was carried out for KSc2B after structural relaxation.

```
KSc2B
1.0
1.832 1.058 10.288
-1.832 1.058 10.288
0.000 -2.116 10.288
K Sc B
1 2 1
Direct
0.000 0.000 0.000 K
0.129 0.129 0.129 Sc
0.871 0.871 0.871 Sc
0.500 0.500 0.500 B
```

Computed properties:
For the formation enthalpy at 0 K, the calculation gives 2.82 kcal/mol of atoms. Its total energy is -19.95 eV/cell. The space group is R-3m. As for the mass density: 1.941 g/cm3. For the density of states at the Fermi level, the calculation gives 4.36 states/eV per cell.


12.
A plane-wave DFT calculation with GGA-PBE was carried out for KSc2B after structural relaxation.

```
KSc2B
1.0
-3.633 3.633 5.142
3.633 -3.633 5.142
3.633 3.633 -5.142
K Sc B
2 4 2
Direct
0.000 0.000 0.000 K
0.750 0.250 0.500 K
0.371 0.625 0.246 Sc
0.375 0.621 0.746 Sc
0.379 0.125 0.754 Sc
0.875 0.629 0.254 Sc
0.250 0.750 0.500 B
0.500 0.500 0.000 B
```

Computed properties:
For the formation enthalpy at 0 K, the calculation gives 12.00 kcal/mol of atoms. Its total energy is -36.71 eV/cell. The space group is I-42d. As for the mass density: 1.711 g/cm3. For the density of states at the Fermi level, the calculation gives 8.95 states/eV per cell.


13.
A plane-wave DFT calculation with GGA-PBE was carried out for KSc2B after structural relaxation.

```
KSc2B
1.0
1.707 0.985 11.407
-1.707 0.985 11.407
0.000 -1.971 11.407
K Sc B
1 2 1
Direct
0.000 0.000 0.000 K
0.433 0.433 0.433 Sc
0.567 0.567 0.567 Sc
0.500 0.500 0.500 B
```

Computed properties:
For the formation enthalpy at 0 K, the calculation gives 27.62 kcal/mol of atoms. Its total energy is -15.65 eV/cell. The space group is R-3m. As for the mass density: 2.018 g/cm3. For the density of states at the Fermi level, the calculation gives 5.44 states/eV per cell.